1.
Compound: AcGa2Rh5
Source: Alexandria via LeMat-Bulk
Functional: PBE
Structure: optimized geometry

```
8
Lattice="-0.3501 3.8728 0.6777 -5.3639 0.9060 3.5464 1.0512 0.9989 6.3298" Properties=species:S:1:pos:R:3 pbc="T T T"
Ga -1.2100 1.4224 2.7414
Ga -3.4528 4.3553 7.8125
Ac 0.0000 0.0000 0.0000
Rh -1.6397 2.6311 7.1073
Rh -2.1563 0.9525 4.9381
Rh -4.1339 2.5950 6.0251
Rh -0.5289 3.1827 4.5288
Rh -3.0231 3.1466 3.4466
```

DFT total energy = -50.75 eV for the cell shown
magnetization = 0.0 Bohr magnetons per cell
E_form = -479 meV per atom

2.
Compound: AcGa2Rh2
Source: Alexandria via LeMat-Bulk
Functional: PBE
Structure: optimized geometry

```
10
Lattice="-2.5201 2.8095 2.2999 -2.2528 -3.4055 1.6915 6.5949 -0.4815 7.8143" Properties=species:S:1:pos:R:3 pbc="T T T"
Ga -0.3288 -1.7610 1.7908
Ga 3.2974 -0.2407 3.9072
Ga 4.5373 0.9815 8.0192
Ga 0.9110 -0.5387 5.9029
Rh 2.8760 1.1028 6.0507
Rh 0.0000 0.0000 0.0000
Rh 1.3325 -1.8823 3.7593
Rh -2.3865 -0.2980 1.9957
Ac 3.8858 -2.0687 6.7847
Ac 0.3226 1.2892 3.0253
```

DFT total energy = -57.71 eV for the cell shown
ΔE to the lowest computed polymorph = 0.000 eV per atom
magnetization = 0.0 Bohr magnetons per cell
E_form = -798 meV per atom

3.
Compound: Ac3GaRh
Source: Alexandria via LeMat-Bulk
Functional: PBE
Structure: optimized geometry

```
5
Lattice="5.7152 0.0000 0.0000 0.0000 5.7152 0.0000 0.0000 0.0000 5.7152" Properties=species:S:1:pos:R:3 pbc="T T T"
Ac 0.0000 0.0000 2.8576
Ac 2.8576 0.0000 0.0000
Ac 0.0000 2.8576 0.0000
Ga 2.8576 2.8576 2.8576
Rh 0.0000 0.0000 0.0000
```

DFT total energy = -24.06 eV for the cell shown
ΔE to the lowest computed polymorph = 0.182 eV per atom
magnetization = 0.0 Bohr magnetons per cell
E_form = -270 meV per atom

4.
Compound: AcGa6Rh
Source: Alexandria via LeMat-Bulk
Functional: PBE
Structure: optimized geometry

```
8
Lattice="4.4171 0.0000 0.0000 0.0000 4.4171 0.0000 0.0000 0.0000 8.1654" Properties=species:S:1:pos:R:3 pbc="T T T"
Ga 0.0000 2.2086 2.7375
Ga 0.0000 2.2086 5.4279
Ga 2.2086 0.0000 2.7375
Ga 2.2086 2.2086 6.9232
Ga 2.2086 2.2086 1.2422
Ga 2.2086 0.0000 5.4279
Ac 0.0000 0.0000 0.0000
Rh 0.0000 0.0000 4.0827
```

DFT total energy = -33.76 eV for the cell shown
magnetization = 0.0 Bohr magnetons per cell
E_form = -517 meV per atom